(1)
DFT (PBE) results for ZrCr2Si after structural relaxation.

Summary:
Formation energy without anion corrections, eV/atom: -0.160
Electronic total energy, eV per atom: -8.465
Calculated density, Mg/m³: 6.40

Cell: 2.969 2.969 6.578 Å, 90.00 90.00 90.00°
Element x y z (fractional)
Zr1 0.000 0.000 0.000
Cr1 0.000 0.000 0.492
Cr2 0.500 0.500 0.310
Si1 0.500 0.500 0.698

=====

(2)
DFT (PBE) results for Ba2CrRe after structural relaxation.

Summary:
E above lowest polymorph, kJ/mol of atoms: 44.79
Formation energy, kJ per mole of atoms: 97.4
Electronic total energy, eV per atom: -5.470
Calculated density, Mg/m³: 4.98

Cell: 8.842 8.842 8.842 Å, 94.05 94.05 149.16°
Element x y z (fractional)
Ba1 0.375 0.186 0.311
Ba2 0.814 0.125 0.189
Ba3 0.875 0.064 0.689
Ba4 0.936 0.625 0.811
Cr1 0.250 0.750 0.500
Cr2 0.500 0.500 0.000
Re1 0.000 0.000 0.000
Re2 0.750 0.250 0.500

=====

(3)
DFT (PBE) results for Pm4InSnC after structural relaxation.

Summary:
Formation energy, kJ per mole of atoms: -40.5
Electronic total energy, eV per atom: -5.415
Calculated density, Mg/m³: 6.76

Cell: 8.816 8.816 7.087 Å, 90.00 90.00 132.59°
Element x y z (fractional)
Pm1 0.000 0.500 0.000
Pm2 0.000 0.500 0.500
Pm3 0.087 0.913 0.750
Pm4 0.412 0.588 0.750
Pm5 0.500 0.000 0.000
Pm6 0.500 0.000 0.500
Pm7 0.588 0.412 0.250
Pm8 0.913 0.087 0.250
In1 0.386 0.614 0.250
In2 0.614 0.386 0.750
Sn1 0.114 0.886 0.250
Sn2 0.886 0.114 0.750
C1 0.251 0.749 0.750
C2 0.749 0.251 0.250

=====

(4)
DFT (PBE) results for Ba2LiHgH after structural relaxation.

Summary:
E above lowest polymorph, kJ/mol of atoms: 4.33
Electronic total energy, eV per atom: -2.198
Calculated density, Mg/m³: 5.23

Cell: 7.877 4.574 8.879 Å, 90.00 106.58 90.00°
Element x y z (fractional)
Ba1 0.204 0.250 0.442
Ba2 0.208 0.250 0.920
Ba3 0.792 0.750 0.080
Ba4 0.796 0.750 0.558
Li1 0.418 0.750 0.725
Li2 0.582 0.250 0.275
Hg1 0.369 0.750 0.225
Hg2 0.631 0.250 0.775
H1 0.168 0.750 0.665
H2 0.832 0.250 0.335

=====

(5)
DFT (PBE) results for UNi4Pd9 after structural relaxation.

Summary:
Formation energy, kJ per mole of atoms: -10.6
Electronic total energy, eV per atom: -5.906
Calculated density, Mg/m³: 11.12

Cell: 7.824 7.824 8.058 Å, 90.00 90.00 120.00°
Element x y z (fractional)
U1 0.333 0.667 0.250
U2 0.667 0.333 0.750
Ni1 0.000 0.000 0.000
Ni2 0.000 0.000 0.500
Ni3 0.105 0.209 0.750
Ni4 0.105 0.895 0.750
Ni5 0.209 0.105 0.250
Ni6 0.791 0.895 0.750
Ni7 0.895 0.105 0.250
Ni8 0.895 0.791 0.250
Pd1 0.088 0.544 0.750
Pd2 0.195 0.391 0.040
Pd3 0.195 0.391 0.460
Pd4 0.195 0.805 0.040
Pd5 0.195 0.805 0.460
Pd6 0.391 0.195 0.540
Pd7 0.391 0.195 0.960
Pd8 0.456 0.544 0.750
Pd9 0.456 0.912 0.750
Pd10 0.544 0.088 0.250
Pd11 0.544 0.456 0.250
Pd12 0.609 0.805 0.040
Pd13 0.609 0.805 0.460
Pd14 0.805 0.195 0.540
Pd15 0.805 0.195 0.960
Pd16 0.805 0.609 0.540
Pd17 0.805 0.609 0.960
Pd18 0.912 0.456 0.250

=====

(6)
DFT (PBE) results for SmVCo after structural relaxation.

Summary:
Formation energy, kJ per mole of atoms: 24.8
Electronic total energy, eV per atom: -6.724
Calculated density, Mg/m³: 8.09

Cell: 6.360 5.585 4.870 Å, 74.59 57.83 47.58°
Element x y z (fractional)
Sm1 0.179 0.821 0.179
Sm2 0.821 0.179 0.821
V1 0.314 0.314 0.686
V2 0.686 0.686 0.314
Co1 0.250 0.250 0.250
Co2 0.750 0.750 0.750

=====

(7)
DFT (PBE) results for PaAlTe6 after structural relaxation.

Summary:
Formation energy without anion corrections, eV/atom: -0.345
Electronic total energy, eV per atom: -4.356
Calculated density, Mg/m³: 6.82

Cell: 5.907 5.907 7.339 Å, 95.80 95.80 99.57°
Element x y z (fractional)
Pa1 0.000 0.000 0.000
Al1 0.500 0.500 0.500
Te1 0.156 0.517 0.217
Te2 0.198 0.198 0.686
Te3 0.483 0.844 0.783
Te4 0.517 0.156 0.217
Te5 0.802 0.802 0.314
Te6 0.844 0.483 0.783

=====

(8)
DFT (PBE) results for LaNdPu2S4 after structural relaxation.

Summary:
Formation energy without anion corrections, eV/atom: -1.939
Electronic total energy, eV per atom: -8.797
Calculated density, Mg/m³: 8.03

Cell: 6.971 4.024 7.022 Å, 90.00 109.30 90.00°
Element x y z (fractional)
La1 0.000 0.000 0.000
Nd1 0.500 0.500 0.000
Pu1 0.000 0.500 0.500
Pu2 0.500 0.000 0.500
S1 0.249 0.000 0.738
S2 0.257 0.500 0.264
S3 0.743 0.500 0.736
S4 0.751 0.000 0.262

=====

(9)
DFT (PBE) results for Rb2MgSi2 after structural relaxation.

Summary:
Formation energy without anion corrections, eV/atom: 0.813
E above lowest polymorph, kJ/mol of atoms: 45.31
Electronic total energy, eV per atom: -2.062
Calculated density, Mg/m³: 2.38

Cell: 10.919 10.919 2.938 Å, 90.00 90.00 90.00°
Element x y z (fractional)
Rb1 0.131 0.369 0.000
Rb2 0.369 0.869 0.000
Rb3 0.631 0.131 0.000
Rb4 0.869 0.631 0.000
Mg1 0.000 0.000 0.000
Mg2 0.500 0.500 0.000
Si1 0.167 0.667 0.500
Si2 0.333 0.167 0.500
Si3 0.667 0.833 0.500
Si4 0.833 0.333 0.500

=====

(10)
DFT (PBE) results for NbInOF2 after structural relaxation.

Summary:
Formation energy without anion corrections, eV/atom: -1.858
E above lowest polymorph, kJ/mol of atoms: 0.00
Electronic total energy, eV per atom: -6.160
Calculated density, Mg/m³: 5.01

Cell: 4.605 4.605 4.090 Å, 90.00 90.00 90.00°
Element x y z (fractional)
Nb1 0.000 0.000 0.000
In1 0.500 0.500 0.500
O1 0.000 0.000 0.500
F1 0.000 0.500 0.000
F2 0.500 0.000 0.000

=====

(11)
DFT (PBE) results for ZrIn2B2 after structural relaxation.

Summary:
E above lowest polymorph, kJ/mol of atoms: 11.27
Formation energy, kJ per mole of atoms: 46.0
Electronic total energy, eV per atom: -4.999
Calculated density, Mg/m³: 7.13

Cell: 5.888 5.888 5.888 Å, 141.13 141.13 56.14°
Element x y z (fractional)
Zr1 0.000 0.000 0.000
In1 0.250 0.750 0.500
In2 0.750 0.250 0.500
B1 0.422 0.422 0.000
B2 0.578 0.578 0.000

=====

(12)
DFT (PBE) results for Pr12TlZn6 after structural relaxation.

Summary:
Formation energy, kJ per mole of atoms: -14.6
Electronic total energy, eV per atom: -3.697
Calculated density, Mg/m³: 6.70

Cell: 9.032 9.032 9.032 Å, 109.47 109.47 109.47°
Element x y z (fractional)
Pr1 0.093 0.287 0.806
Pr2 0.194 0.481 0.287
Pr3 0.194 0.907 0.713
Pr4 0.287 0.194 0.481
Pr5 0.287 0.806 0.093
Pr6 0.481 0.287 0.194
Pr7 0.519 0.713 0.806
Pr8 0.713 0.194 0.907
Pr9 0.713 0.806 0.519
Pr10 0.806 0.093 0.287
Pr11 0.806 0.519 0.713
Pr12 0.907 0.713 0.194
Tl1 0.000 0.000 0.000
Zn1 0.121 0.500 0.621
Zn2 0.379 0.879 0.500
Zn3 0.500 0.379 0.879
Zn4 0.500 0.621 0.121
Zn5 0.621 0.121 0.500
Zn6 0.879 0.500 0.379

=====

(13)
DFT (PBE) results for YTm5Tl8 after structural relaxation.

Summary:
Formation energy, kJ per mole of atoms: -18.7
Electronic total energy, eV per atom: -3.604
Calculated density, Mg/m³: 10.93

Cell: 7.976 7.976 7.976 Å, 110.07 110.07 108.28°
Element x y z (fractional)
Y1 0.000 0.000 0.000
Tm1 0.082 0.229 0.596
Tm2 0.250 0.750 0.500
Tm3 0.514 0.918 0.147
Tm4 0.633 0.486 0.404
Tm5 0.771 0.367 0.853
Tl1 0.066 0.639 0.768
Tl2 0.241 0.475 0.091
Tl3 0.361 0.129 0.427
Tl4 0.384 0.150 0.909
Tl5 0.525 0.616 0.766
Tl6 0.702 0.934 0.573
Tl7 0.850 0.759 0.234
Tl8 0.871 0.298 0.232

=====

(14)
DFT (PBE) results for SrScCuO3 after structural relaxation.

Summary:
Formation energy without anion corrections, eV/atom: -2.387
Electronic total energy, eV per atom: -6.885
Calculated density, Mg/m³: 4.61

Cell: 6.454 6.454 8.177 Å, 90.00 90.00 148.88°
Element x y z (fractional)
Sr1 0.186 0.814 0.750
Sr2 0.814 0.186 0.250
Sc1 0.500 0.500 0.000
Sc2 0.500 0.500 0.500
Cu1 0.108 0.892 0.250
Cu2 0.892 0.108 0.750
O1 0.111 0.889 0.027
O2 0.111 0.889 0.473
O3 0.450 0.550 0.250
O4 0.550 0.450 0.750
O5 0.889 0.111 0.527
O6 0.889 0.111 0.973

=====

(15)
DFT (PBE) results for HfGa2ReW after structural relaxation.

Summary:
Formation energy, kJ per mole of atoms: 108.4
Electronic total energy, eV per atom: -7.158
Calculated density, Mg/m³: 10.57

Cell: 4.718 4.718 4.855 Å, 90.00 90.00 90.00°
Element x y z (fractional)
Hf1 0.000 0.000 0.000
Ga1 0.000 0.500 0.500
Ga2 0.500 0.000 0.500
Re1 0.500 0.500 0.000
W1 0.500 0.500 0.500

=====

(16)
DFT (PBE) results for CdRe2Pb after structural relaxation.

Summary:
E above lowest polymorph, kJ/mol of atoms: 48.23
Formation energy, kJ per mole of atoms: 80.8
Electronic total energy, eV per atom: -6.543
Calculated density, Mg/m³: 13.34

Cell: 6.437 6.437 6.437 Å, 152.12 136.03 52.86°
Element x y z (fractional)
Cd1 0.000 0.000 0.000
Re1 0.533 0.533 0.000
Re2 0.690 0.190 0.500
Pb1 0.288 0.788 0.500

=====

(17)
DFT (PBE) results for PmPaCN after structural relaxation.

Summary:
Formation energy without anion corrections, eV/atom: -0.979
Electronic total energy, eV per atom: -8.928
Calculated density, Mg/m³: 9.98

Cell: 6.230 6.230 6.230 Å, 33.86 33.86 33.86°
Element x y z (fractional)
Pm1 0.000 0.000 0.000
Pa1 0.501 0.501 0.501
C1 0.761 0.761 0.761
N1 0.238 0.238 0.238

=====

(18)
DFT (PBE) results for La2Sm2HoAg5 after structural relaxation.

Summary:
Formation energy, kJ per mole of atoms: -13.0
Electronic total energy, eV per atom: -3.947
Calculated density, Mg/m³: 8.08

Cell: 11.154 11.154 4.241 Å, 90.00 90.00 90.00°
Element x y z (fractional)
La1 0.173 0.327 0.000
La2 0.327 0.827 0.000
La3 0.673 0.173 0.000
La4 0.827 0.673 0.000
Sm1 0.129 0.629 0.000
Sm2 0.371 0.129 0.000
Sm3 0.629 0.871 0.000
Sm4 0.871 0.371 0.000
Ho1 0.000 0.000 0.000
Ho2 0.500 0.500 0.000
Ag1 0.000 0.500 0.500
Ag2 0.060 0.815 0.500
Ag3 0.185 0.060 0.500
Ag4 0.315 0.560 0.500
Ag5 0.440 0.315 0.500
Ag6 0.500 0.000 0.500
Ag7 0.560 0.685 0.500
Ag8 0.685 0.440 0.500
Ag9 0.815 0.940 0.500
Ag10 0.940 0.185 0.500

=====

(19)
DFT (PBE) results for Cd2Sn2Sb after structural relaxation.

Summary:
Formation energy without anion corrections, eV/atom: 0.131
E above lowest polymorph, kJ/mol of atoms: 1.69
Electronic total energy, eV per atom: -2.661
Calculated density, Mg/m³: 7.21

Cell: 7.917 7.917 4.291 Å, 90.00 90.00 90.00°
Element x y z (fractional)
Cd1 0.129 0.371 0.000
Cd2 0.371 0.871 0.000
Cd3 0.629 0.129 0.000
Cd4 0.871 0.629 0.000
Sn1 0.176 0.676 0.500
Sn2 0.324 0.176 0.500
Sn3 0.676 0.824 0.500
Sn4 0.824 0.324 0.500
Sb1 0.000 0.000 0.000
Sb2 0.500 0.500 0.000